# LiAcCuSi GGA-PBE optimized geometry
data_LiAcCuSi
_symmetry_space_group_name_H-M 'F -4 3 m'
_symmetry_Int_Tables_number 216
_symmetry_space_group_name_Hall 'F -4 2 3'
_cell_length_a 6.8310
_cell_length_b 6.8310
_cell_length_c 6.8310
_cell_angle_alpha 90.00
_cell_angle_beta 90.00
_cell_angle_gamma 90.00
loop_
_atom_site_label
_atom_site_type_symbol
_atom_site_fract_x
_atom_site_fract_y
_atom_site_fract_z
Li1 Li 0.0000 0.0000 0.0000
Ac1 Ac 0.2500 0.2500 0.2500
Cu1 Cu 0.0000 0.0000 0.5000
Si1 Si 0.2500 0.2500 0.7500
# Magnetic moment ... 0.00 μB/cell
# Theoretical density ... 6.78 g/cm³
# DOS at the Fermi energy ... 8.07 states/eV/cell
# Calculated total energy ... -64.3 eV per cell
# Formation energy (no corrections) ... -12.7 kJ/mol of atoms